--- i ---
The following is a PBE calculation of a relaxed PuNbH4 crystal, from the Alexandria database.

Summary:
Fermi-level density of states: 5.50 states/eV per cell

Cell and atoms, written as CIF:
```
data_PuNbH4
_chemical_formula_sum 'Pu1 Nb1 H4'
_space_group_name_H-M_alt 'P 4/m m m'
_space_group_IT_number 123
_space_group_name_Hall '-P 4 2'
_cell_length_a 3.2477
_cell_length_b 3.2477
_cell_length_c 5.4440
_cell_angle_alpha 90.00
_cell_angle_beta 90.00
_cell_angle_gamma 90.00
loop_
_atom_site_label
_atom_site_type_symbol
_atom_site_fract_x
_atom_site_fract_y
_atom_site_fract_z
Pu1 Pu 0.0000 0.0000 0.0000
Nb1 Nb 0.5000 0.5000 0.5000
H1 H 0.0000 0.5000 0.2948
```


--- ii ---
The following is a PBE calculation of a relaxed PuNbH4 crystal, from the Alexandria database.

Summary:
Fermi-level density of states: 28.10 states/eV per cell

Cell and atoms, written as CIF:
```
data_PuNbH4
_chemical_formula_sum 'Pu4 Nb4 H16'
_space_group_name_H-M_alt 'I m m a'
_space_group_IT_number 74
_space_group_name_Hall '-I 2b 2'
_cell_length_a 5.0888
_cell_length_b 5.2201
_cell_length_c 8.5492
_cell_angle_alpha 90.00
_cell_angle_beta 90.00
_cell_angle_gamma 90.00
loop_
_atom_site_label
_atom_site_type_symbol
_atom_site_fract_x
_atom_site_fract_y
_atom_site_fract_z
Pu1 Pu 0.0000 0.2500 0.1388
Nb1 Nb 0.0000 0.2500 0.6132
H1 H 0.2244 0.0000 0.5000
H2 H 0.2500 0.0557 0.7500
```


Q: Which of them is the most stable? A: i.


--- i ---
The following is a PBE calculation of a relaxed RbNbH3 crystal, from the Alexandria database.

Summary:
Fermi-level density of states: 1.12 states/eV per cell

Cell and atoms, written as CIF:
```
data_RbNbH3
_chemical_formula_sum 'Rb1 Nb1 H3'
_space_group_name_H-M_alt 'P m -3 m'
_space_group_IT_number 221
_space_group_name_Hall '-P 4 2 3'
_cell_length_a 4.5164
_cell_length_b 4.5164
_cell_length_c 4.5164
_cell_angle_alpha 90.00
_cell_angle_beta 90.00
_cell_angle_gamma 90.00
loop_
_atom_site_label
_atom_site_type_symbol
_atom_site_fract_x
_atom_site_fract_y
_atom_site_fract_z
Rb1 Rb 0.0000 0.0000 0.0000
Nb1 Nb 0.5000 0.5000 0.5000
H1 H 0.0000 0.0000 0.5000
```


--- ii ---
The following is a PBE calculation of a relaxed RbNbH3 crystal, from the Alexandria database.

Summary:
Fermi-level density of states: 0.19 states/eV per cell

Cell and atoms, written as CIF:
```
data_RbNbH3
_chemical_formula_sum 'Rb1 Nb1 H3'
_space_group_name_H-M_alt 'P m -3 m'
_space_group_IT_number 221
_space_group_name_Hall '-P 4 2 3'
_cell_length_a 4.1376
_cell_length_b 4.1376
_cell_length_c 4.1376
_cell_angle_alpha 90.00
_cell_angle_beta 90.00
_cell_angle_gamma 90.00
loop_
_atom_site_label
_atom_site_type_symbol
_atom_site_fract_x
_atom_site_fract_y
_atom_site_fract_z
Rb1 Rb 0.0000 0.0000 0.0000
Nb1 Nb 0.5000 0.5000 0.5000
H1 H 0.0000 0.5000 0.5000
```


Q: Which of them is the most stable? A: ii.